5
Lattice="5.030 0.000 0.000 0.000 5.030 0.000 0.000 0.000 5.030" Properties=species:S:1:pos:R:3 comment="HfCd3S, optimized geometry, DFT PBE-GGA" e_above_lowest_polymorph_mev_per_atom=0.0 energy_ha_per_atom=-0.096 total_magnetization_mub_per_cell=0.000 sg="Pm-3m, No. 221" pbc="T T T"
Hf 0.000 0.000 0.000
Cd 0.000 2.515 2.515
Cd 2.515 0.000 2.515
Cd 2.515 2.515 0.000
S 2.515 2.515 2.515